Material: ThCuAg2Te4
Method: DFT, PBE
State: optimized geometry

Geometry as CIF:
```
data_ThCuAg2Te4
_chemical_formula_sum 'Th4 Cu4 Ag8 Te16'
_cell_length_a 4.355
_cell_length_b 14.646
_cell_length_c 14.032
_cell_angle_alpha 90.00
_cell_angle_beta 90.00
_cell_angle_gamma 90.00
_space_group_name_H-M_alt 'C m c m'
_space_group_IT_number 63
_space_group_name_Hall '-C 2c 2'
loop_
_atom_site_label
_atom_site_fract_x
_atom_site_fract_y
_atom_site_fract_z
Th1 0.000 0.091 0.250
Cu1 0.000 0.170 0.750
Ag1 0.000 0.381 0.058
Te1 0.000 0.000 0.000
Te2 0.000 0.303 0.623
Te3 0.000 0.430 0.250
```

Summary:
E_form (uncorrected) (meV per atom): -381

---

Material: Tl2Cu2AgTe4
Method: DFT, PBE
State: optimized geometry

Geometry as CIF:
```
data_Tl2Cu2AgTe4
_chemical_formula_sum 'Tl4 Cu4 Ag2 Te8'
_cell_length_a 17.158
_cell_length_b 4.134
_cell_length_c 7.827
_cell_angle_alpha 90.00
_cell_angle_beta 112.02
_cell_angle_gamma 90.00
_space_group_name_H-M_alt 'C 1 2/m 1'
_space_group_IT_number 12
_space_group_name_Hall '-C 2y'
loop_
_atom_site_label
_atom_site_fract_x
_atom_site_fract_y
_atom_site_fract_z
Tl1 0.114 0.000 0.012
Cu1 0.204 0.500 0.519
Ag1 0.000 0.000 0.500
Te1 0.042 0.500 0.317
Te2 0.230 0.000 0.738
```

Summary:
E_form (uncorrected) (meV per atom): -118

---

| no. | spin magnetization (μB/cell) |
| --- | --- |
| 1 | 0.00 |
| 2 | 0.00 |